1.
DFT (PBE) results for a relaxed NbSb2TePd crystal.

a = 5.0950 Å, b = 5.0950 Å, c = 5.2507 Å
α = 90.00°, β = 90.00°, γ = 90.00°
Element x y z (fractional)
Nb (0.0000, 0.0000, 0.0000)
Sb (0.0000, 0.5000, 0.5000)
Sb (0.5000, 0.0000, 0.5000)
Te (0.5000, 0.5000, 0.0000)
Pd (0.5000, 0.5000, 0.5000)

SG	No. 123
E_form (uncorrected)	399	kJ/mol of formula units

***

2.
DFT (PBE) results for a relaxed Sc2NbPd crystal.

a = 3.0854 Å, b = 3.0854 Å, c = 29.4070 Å
α = 90.00°, β = 90.00°, γ = 120.00°
Element x y z (fractional)
Sc (0.0000, 0.0000, 0.0854)
Sc (0.0000, 0.0000, 0.9146)
Sc (0.3333, 0.6667, 0.5812)
Sc (0.3333, 0.6667, 0.7521)
Sc (0.6667, 0.3333, 0.2479)
Sc (0.6667, 0.3333, 0.4188)
Nb (0.0000, 0.0000, 0.5000)
Nb (0.3333, 0.6667, 0.1667)
Nb (0.6667, 0.3333, 0.8333)
Pd (0.0000, 0.0000, 0.0000)
Pd (0.3333, 0.6667, 0.6667)
Pd (0.6667, 0.3333, 0.3333)

energy relative to the elements	0.0338	eV/atom
SG	No. 166

***

3.
DFT (PBE) results for a relaxed Sc2NbPd2 crystal.

a = 7.5136 Å, b = 7.5136 Å, c = 3.3191 Å
α = 90.00°, β = 90.00°, γ = 90.00°
Element x y z (fractional)
Sc (0.1684, 0.3316, 0.0000)
Sc (0.3316, 0.8316, 0.0000)
Sc (0.6684, 0.1684, 0.0000)
Sc (0.8316, 0.6684, 0.0000)
Nb (0.0000, 0.0000, 0.5000)
Nb (0.5000, 0.5000, 0.5000)
Pd (0.1315, 0.6315, 0.5000)
Pd (0.3685, 0.1315, 0.5000)
Pd (0.6315, 0.8685, 0.5000)
Pd (0.8685, 0.3685, 0.5000)

energy relative to the elements	-0.4380	eV/atom
SG	No. 127

***

4.
DFT (PBE) results for a relaxed ScNb2Pd9 crystal.

a = 3.9811 Å, b = 3.9811 Å, c = 12.0041 Å
α = 90.00°, β = 90.00°, γ = 90.00°
Element x y z (fractional)
Sc (0.0000, 0.0000, 0.0000)
Nb (0.0000, 0.0000, 0.3309)
Nb (0.0000, 0.0000, 0.6691)
Pd (0.0000, 0.5000, 0.1711)
Pd (0.0000, 0.5000, 0.5000)
Pd (0.0000, 0.5000, 0.8289)
Pd (0.5000, 0.0000, 0.1711)
Pd (0.5000, 0.0000, 0.5000)
Pd (0.5000, 0.0000, 0.8289)
Pd (0.5000, 0.5000, 0.0000)
Pd (0.5000, 0.5000, 0.3360)
Pd (0.5000, 0.5000, 0.6640)

energy relative to the elements	-0.5210	eV/atom
SG	No. 123

***

5.
DFT (PBE) results for a relaxed Sc2NbPd crystal.

a = 7.4420 Å, b = 7.4420 Å, c = 5.8963 Å
α = 90.00°, β = 90.00°, γ = 90.00°
Element x y z (fractional)
Sc (0.2177, 0.7500, 0.1250)
Sc (0.2500, 0.2177, 0.8750)
Sc (0.2500, 0.2823, 0.3750)
Sc (0.2823, 0.7500, 0.6250)
Sc (0.7177, 0.2500, 0.6250)
Sc (0.7500, 0.7177, 0.3750)
Sc (0.7500, 0.7823, 0.8750)
Sc (0.7823, 0.2500, 0.1250)
Nb (0.0000, 0.0000, 0.5000)
Nb (0.0000, 0.5000, 0.7500)
Nb (0.5000, 0.0000, 0.2500)
Nb (0.5000, 0.5000, 0.0000)
Pd (0.0000, 0.0000, 0.0000)
Pd (0.0000, 0.5000, 0.2500)
Pd (0.5000, 0.0000, 0.7500)
Pd (0.5000, 0.5000, 0.5000)

energy relative to the elements	0.0584	eV/atom
SG	No. 122

***

6.
DFT (PBE) results for a relaxed ScNb2Pd2 crystal.

a = 7.7642 Å, b = 7.7642 Å, c = 3.0279 Å
α = 90.00°, β = 90.00°, γ = 90.00°
Element x y z (fractional)
Sc (0.0000, 0.0000, 0.0000)
Sc (0.5000, 0.5000, 0.0000)
Nb (0.1743, 0.3257, 0.5000)
Nb (0.3257, 0.8257, 0.5000)
Nb (0.6743, 0.1743, 0.5000)
Nb (0.8257, 0.6743, 0.5000)
Pd (0.1238, 0.6238, 0.0000)
Pd (0.3762, 0.1238, 0.0000)
Pd (0.6238, 0.8762, 0.0000)
Pd (0.8762, 0.3762, 0.0000)

energy relative to the elements	-0.1649	eV/atom
SG	No. 127

***

7.
DFT (PBE) results for a relaxed ScNbPd14 crystal.

a = 5.6365 Å, b = 5.6365 Å, c = 7.8860 Å
α = 90.00°, β = 90.00°, γ = 90.00°
Element x y z (fractional)
Sc (0.0000, 0.0000, 0.0000)
Nb (0.5000, 0.5000, 0.0000)
Pd (0.0000, 0.0000, 0.5000)
Pd (0.0000, 0.5000, 0.0000)
Pd (0.0000, 0.5000, 0.5000)
Pd (0.2523, 0.2523, 0.2464)
Pd (0.2523, 0.2523, 0.7536)
Pd (0.2523, 0.7477, 0.2464)
Pd (0.2523, 0.7477, 0.7536)
Pd (0.5000, 0.0000, 0.0000)
Pd (0.5000, 0.0000, 0.5000)
Pd (0.5000, 0.5000, 0.5000)
Pd (0.7477, 0.2523, 0.2464)
Pd (0.7477, 0.2523, 0.7536)
Pd (0.7477, 0.7477, 0.2464)
Pd (0.7477, 0.7477, 0.7536)

energy relative to the elements	-0.3390	eV/atom
SG	No. 123

***

8.
DFT (PBE) results for a relaxed Sc2NbPd crystal.

a = 6.7622 Å, b = 6.7622 Å, c = 6.7622 Å
α = 90.00°, β = 90.00°, γ = 90.00°
Element x y z (fractional)
Sc (0.2500, 0.2500, 0.2500)
Sc (0.2500, 0.2500, 0.7500)
Sc (0.2500, 0.7500, 0.2500)
Sc (0.2500, 0.7500, 0.7500)
Sc (0.7500, 0.2500, 0.2500)
Sc (0.7500, 0.2500, 0.7500)
Sc (0.7500, 0.7500, 0.2500)
Sc (0.7500, 0.7500, 0.7500)
Nb (0.0000, 0.0000, 0.0000)
Nb (0.0000, 0.5000, 0.5000)
Nb (0.5000, 0.0000, 0.5000)
Nb (0.5000, 0.5000, 0.0000)
Pd (0.0000, 0.0000, 0.5000)
Pd (0.0000, 0.5000, 0.0000)
Pd (0.5000, 0.0000, 0.0000)
Pd (0.5000, 0.5000, 0.5000)

energy relative to the elements	-0.1610	eV/atom
SG	No. 225

***

9.
DFT (PBE) results for a relaxed ScNb2Pd crystal.

a = 7.7786 Å, b = 7.7786 Å, c = 5.2376 Å
α = 90.00°, β = 90.00°, γ = 90.00°
Element x y z (fractional)
Sc (0.0000, 0.0000, 0.0000)
Sc (0.0000, 0.5000, 0.2500)
Sc (0.5000, 0.0000, 0.7500)
Sc (0.5000, 0.5000, 0.5000)
Nb (0.2174, 0.2500, 0.6250)
Nb (0.2500, 0.7174, 0.8750)
Nb (0.2500, 0.7826, 0.3750)
Nb (0.2826, 0.2500, 0.1250)
Nb (0.7174, 0.7500, 0.1250)
Nb (0.7500, 0.2174, 0.3750)
Nb (0.7500, 0.2826, 0.8750)
Nb (0.7826, 0.7500, 0.6250)
Pd (0.0000, 0.0000, 0.5000)
Pd (0.0000, 0.5000, 0.7500)
Pd (0.5000, 0.0000, 0.2500)
Pd (0.5000, 0.5000, 0.0000)

energy relative to the elements	0.2276	eV/atom
SG	No. 122

***

10.
DFT (PBE) results for a relaxed ScNb2Pd2 crystal.

a = 3.7428 Å, b = 3.7428 Å, c = 13.6516 Å
α = 90.00°, β = 90.00°, γ = 90.00°
Element x y z (fractional)
Sc (0.0000, 0.0000, 0.0000)
Sc (0.5000, 0.5000, 0.5000)
Nb (0.0000, 0.5000, 0.2500)
Nb (0.0000, 0.5000, 0.7500)
Nb (0.5000, 0.0000, 0.2500)
Nb (0.5000, 0.0000, 0.7500)
Pd (0.0000, 0.0000, 0.4044)
Pd (0.0000, 0.0000, 0.5956)
Pd (0.5000, 0.5000, 0.0956)
Pd (0.5000, 0.5000, 0.9044)

energy relative to the elements	-0.1621	eV/atom
SG	No. 139

***

11.
DFT (PBE) results for a relaxed ScNbPd3 crystal.

a = 4.8220 Å, b = 4.8220 Å, c = 4.8220 Å
α = 90.00°, β = 90.00°, γ = 90.00°
Element x y z (fractional)
Sc (0.0000, 0.0000, 0.0000)
Nb (0.5000, 0.5000, 0.5000)
Pd (0.0000, 0.5000, 0.5000)
Pd (0.5000, 0.0000, 0.5000)
Pd (0.5000, 0.5000, 0.0000)

energy relative to the elements	0.4633	eV/atom
SG	No. 221

***

12.
DFT (PBE) results for a relaxed ScNb2Pd crystal.

a = 6.5915 Å, b = 6.5915 Å, c = 6.5915 Å
α = 90.00°, β = 90.00°, γ = 90.00°
Element x y z (fractional)
Sc (0.0000, 0.0000, 0.0000)
Sc (0.0000, 0.5000, 0.5000)
Sc (0.5000, 0.0000, 0.5000)
Sc (0.5000, 0.5000, 0.0000)
Nb (0.2500, 0.2500, 0.2500)
Nb (0.2500, 0.2500, 0.7500)
Nb (0.2500, 0.7500, 0.2500)
Nb (0.2500, 0.7500, 0.7500)
Nb (0.7500, 0.2500, 0.2500)
Nb (0.7500, 0.2500, 0.7500)
Nb (0.7500, 0.7500, 0.2500)
Nb (0.7500, 0.7500, 0.7500)
Pd (0.0000, 0.0000, 0.5000)
Pd (0.0000, 0.5000, 0.0000)
Pd (0.5000, 0.0000, 0.0000)
Pd (0.5000, 0.5000, 0.5000)

energy relative to the elements	0.1337	eV/atom
SG	No. 225

***

13.
DFT (PBE) results for a relaxed Sc2NbPd crystal.

a = 3.2184 Å, b = 3.2184 Å, c = 7.4318 Å
α = 90.00°, β = 90.00°, γ = 90.00°
Element x y z (fractional)
Sc (0.0000, 0.0000, 0.2270)
Sc (0.0000, 0.0000, 0.7730)
Nb (0.5000, 0.5000, 0.5000)
Pd (0.5000, 0.5000, 0.0000)

energy relative to the elements	-0.3579	eV/atom
SG	No. 123

***

14.
DFT (PBE) results for a relaxed ScNbPd6 crystal.

a = 3.9821 Å, b = 3.9821 Å, c = 8.0063 Å
α = 90.00°, β = 90.00°, γ = 90.00°
Element x y z (fractional)
Sc (0.0000, 0.0000, 0.0000)
Nb (0.0000, 0.0000, 0.5000)
Pd (0.0000, 0.5000, 0.2564)
Pd (0.0000, 0.5000, 0.7436)
Pd (0.5000, 0.0000, 0.2564)
Pd (0.5000, 0.0000, 0.7436)
Pd (0.5000, 0.5000, 0.0000)
Pd (0.5000, 0.5000, 0.5000)

energy relative to the elements	-0.6417	eV/atom
SG	No. 123

***

15.
DFT (PBE) results for a relaxed Sc2NbPd2 crystal.

a = 7.8922 Å, b = 7.8922 Å, c = 2.9545 Å
α = 90.00°, β = 90.00°, γ = 90.00°
Element x y z (fractional)
Sc (0.1502, 0.3498, 0.0000)
Sc (0.3498, 0.8498, 0.0000)
Sc (0.6502, 0.1502, 0.0000)
Sc (0.8498, 0.6502, 0.0000)
Nb (0.0000, 0.0000, 0.0000)
Nb (0.5000, 0.5000, 0.0000)
Pd (0.1495, 0.6495, 0.5000)
Pd (0.3505, 0.1495, 0.5000)
Pd (0.6495, 0.8505, 0.5000)
Pd (0.8505, 0.3505, 0.5000)

energy relative to the elements	-0.3544	eV/atom
SG	No. 127

***

16.
DFT (PBE) results for a relaxed Sc2NbTcPd crystal.

a = 4.9533 Å, b = 4.9533 Å, c = 4.7276 Å
α = 90.00°, β = 90.00°, γ = 90.00°
Element x y z (fractional)
Sc (0.0000, 0.5000, 0.0000)
Sc (0.5000, 0.0000, 0.0000)
Nb (0.0000, 0.0000, 0.0000)
Tc (0.5000, 0.5000, 0.5000)
Pd (0.0000, 0.0000, 0.5000)

energy relative to the elements	1.1916	eV/atom
SG	No. 123

***

17.
DFT (PBE) results for a relaxed ZrSc2NbPd crystal.

a = 4.9271 Å, b = 4.9271 Å, c = 4.8867 Å
α = 90.00°, β = 90.00°, γ = 90.00°
Element x y z (fractional)
Zr (0.0000, 0.0000, 0.0000)
Sc (0.0000, 0.5000, 0.5000)
Sc (0.5000, 0.0000, 0.5000)
Nb (0.5000, 0.5000, 0.5000)
Pd (0.5000, 0.5000, 0.0000)

energy relative to the elements	0.6772	eV/atom
SG	No. 123

***

18.
DFT (PBE) results for a relaxed Nb3PdSe4 crystal.

a = 7.8231 Å, b = 6.9478 Å, c = 6.5035 Å
α = 90.00°, β = 90.00°, γ = 90.00°
Element x y z (fractional)
Nb (0.0000, 0.2239, 0.0000)
Nb (0.2108, 0.9057, 0.0687)
Nb (0.2892, 0.0943, 0.5687)
Nb (0.5000, 0.7761, 0.5000)
Nb (0.7108, 0.0943, 0.5687)
Nb (0.7892, 0.9057, 0.0687)
Pd (0.0000, 0.8618, 0.4219)
Pd (0.5000, 0.1382, 0.9219)
Se (0.0000, 0.2975, 0.6278)
Se (0.0000, 0.6257, 0.1252)
Se (0.2195, 0.7503, 0.7016)
Se (0.2805, 0.2497, 0.2016)
Se (0.5000, 0.3743, 0.6252)
Se (0.5000, 0.7025, 0.1278)
Se (0.7195, 0.2497, 0.2016)
Se (0.7805, 0.7503, 0.7016)

SG	No. 31
E_form (uncorrected)	-353	kJ/mol of formula units

***

19.
DFT (PBE) results for a relaxed NbPd3Se6 crystal.

a = 10.5592 Å, b = 3.6544 Å, c = 10.9828 Å
α = 90.00°, β = 103.20°, γ = 90.00°
Element x y z (fractional)
Nb (0.1955, 0.2500, 0.0537)
Nb (0.8045, 0.7500, 0.9463)
Pd (0.0111, 0.2500, 0.6581)
Pd (0.3479, 0.2500, 0.4486)
Pd (0.4135, 0.7500, 0.8274)
Pd (0.5865, 0.2500, 0.1726)
Pd (0.6521, 0.7500, 0.5514)
Pd (0.9889, 0.7500, 0.3419)
Se (0.0481, 0.7500, 0.9038)
Se (0.1189, 0.2500, 0.4727)
Se (0.1995, 0.7500, 0.2379)
Se (0.2435, 0.2500, 0.8144)
Se (0.3871, 0.7500, 0.0571)
Se (0.4295, 0.7500, 0.6017)
Se (0.5705, 0.2500, 0.3983)
Se (0.6129, 0.2500, 0.9429)
Se (0.7565, 0.7500, 0.1856)
Se (0.8005, 0.2500, 0.7621)
Se (0.8811, 0.7500, 0.5273)
Se (0.9519, 0.2500, 0.0962)

SG	No. 11
E_form (uncorrected)	-310	kJ/mol of formula units

***

20.
DFT (PBE) results for a relaxed Nb2PdSe2 crystal.

a = 7.3634 Å, b = 7.3634 Å, c = 3.1999 Å
α = 90.00°, β = 90.00°, γ = 90.00°
Element x y z (fractional)
Nb (0.1493, 0.3507, 0.0000)
Nb (0.3507, 0.8507, 0.0000)
Nb (0.6493, 0.1493, 0.0000)
Nb (0.8507, 0.6493, 0.0000)
Pd (0.0000, 0.0000, 0.5000)
Pd (0.5000, 0.5000, 0.5000)
Se (0.1472, 0.6472, 0.5000)
Se (0.3528, 0.1472, 0.5000)
Se (0.6472, 0.8528, 0.5000)
Se (0.8528, 0.3528, 0.5000)

SG	No. 127
E_form (uncorrected)	-127	kJ/mol of formula units

***

21.
DFT (PBE) results for a relaxed Nb2PdSe4 crystal.

a = 7.4445 Å, b = 7.4459 Å, c = 7.6497 Å
α = 91.64°, β = 117.86°, γ = 119.31°
Element x y z (fractional)
Nb (0.0000, 0.0000, 0.0000)
Nb (0.0181, 0.5349, 0.9987)
Nb (0.4566, 0.4897, 0.3902)
Nb (0.5569, 0.5557, 0.9999)
Pd (0.2904, 0.9127, 0.6471)
Pd (0.7767, 0.1824, 0.4049)
Se (0.0317, 0.7811, 0.2561)
Se (0.0551, 0.2813, 0.7794)
Se (0.4757, 0.2468, 0.1669)
Se (0.5042, 0.7821, 0.2147)
Se (0.5249, 0.7469, 0.7154)
Se (0.5332, 0.3112, 0.7158)
Se (0.9606, 0.7389, 0.7159)
Se (0.9891, 0.2667, 0.2163)

SG	No. 1
E_form (uncorrected)	-394	kJ/mol of formula units

***

22.
DFT (PBE) results for a relaxed NbPd2Se4 crystal.

a = 7.6213 Å, b = 7.6130 Å, c = 7.6078 Å
α = 60.09°, β = 59.99°, γ = 59.92°
Element x y z (fractional)
Nb (0.1250, 0.1250, 0.1250)
Nb (0.8750, 0.8750, 0.8750)
Pd (0.0000, 0.5000, 0.5000)
Pd (0.5000, 0.0000, 0.5000)
Pd (0.5000, 0.5000, 0.0000)
Pd (0.5000, 0.5000, 0.5000)
Se (0.2570, 0.7276, 0.2578)
Se (0.2578, 0.2576, 0.2570)
Se (0.2576, 0.2578, 0.7276)
Se (0.2724, 0.7430, 0.7424)
Se (0.7276, 0.2570, 0.2576)
Se (0.7424, 0.7422, 0.2724)
Se (0.7422, 0.7424, 0.7430)
Se (0.7430, 0.2724, 0.7422)

SG	No. 70
E_form (uncorrected)	-227	kJ/mol of formula units

***

23.
DFT (PBE) results for a relaxed Nb2PdSe2 crystal.

a = 4.5370 Å, b = 4.5370 Å, c = 9.6092 Å
α = 90.00°, β = 90.00°, γ = 90.00°
Element x y z (fractional)
Nb (0.0000, 0.5000, 0.2500)
Nb (0.0000, 0.5000, 0.7500)
Nb (0.5000, 0.0000, 0.2500)
Nb (0.5000, 0.0000, 0.7500)
Pd (0.0000, 0.0000, 0.0000)
Pd (0.5000, 0.5000, 0.5000)
Se (0.0000, 0.0000, 0.3670)
Se (0.0000, 0.0000, 0.6330)
Se (0.5000, 0.5000, 0.1330)
Se (0.5000, 0.5000, 0.8670)

SG	No. 139
E_form (uncorrected)	-63	kJ/mol of formula units

***

24.
DFT (PBE) results for a relaxed NbPd3Se crystal.

a = 4.6511 Å, b = 4.6511 Å, c = 4.6511 Å
α = 90.00°, β = 90.00°, γ = 90.00°
Element x y z (fractional)
Nb (0.0000, 0.0000, 0.0000)
Pd (0.0000, 0.5000, 0.5000)
Pd (0.5000, 0.0000, 0.5000)
Pd (0.5000, 0.5000, 0.0000)
Se (0.5000, 0.5000, 0.5000)

SG	No. 221
E_form (uncorrected)	233	kJ/mol of formula units

***

| no. | volume (Å³ per atom) |
| --- | --- |
| 1 | 27.26 |
| 2 | 20.20 |
| 3 | 18.74 |
| 4 | 15.85 |
| 5 | 20.41 |
| 6 | 18.25 |
| 7 | 15.66 |
| 8 | 19.33 |
| 9 | 19.81 |
| 10 | 19.12 |
| 11 | 22.42 |
| 12 | 17.90 |
| 13 | 19.24 |
| 14 | 15.87 |
| 15 | 18.40 |
| 16 | 23.20 |
| 17 | 23.73 |
| 18 | 22.09 |
| 19 | 20.63 |
| 20 | 17.35 |
| 21 | 22.01 |
| 22 | 22.29 |
| 23 | 19.78 |
| 24 | 20.12 |